Here is a relaxed Pr4Ag2Au crystal from the Alexandria database. Energies are from PBE-GGA.

Space-group type: I4/mmm, No. 139
DFT formation energy in eV/atom: -0.2546
Total magnetic moment in μB per atom: 0.13

Cell lengths 6.4608, 6.4608, 6.4608 Å; angles 110.90, 108.76, 108.76 degrees
Fractional positions:
Au: 0.0000 0.0000 0.0000
Pr: 0.0000 0.5000 0.0000
Ag: 0.5000 0.0000 0.5000
Pr: 0.5000 0.5000 0.5000
Pr: 0.5000 0.0000 0.0000
Ag: 0.5000 0.5000 0.0000
Pr: 0.0000 0.0000 0.5000